(1)
# Ca2In2Ru | the Alexandria database | PBE | optimized geometry
# size of the total moment = 0.466 μB per formula unit
# energy of formation = 0.344 eV per atom
data_Ca2In2Ru
_symmetry_space_group_name_H-M 'I 4/m m m'
_symmetry_Int_Tables_number 139
_symmetry_space_group_name_Hall '-I 4 2'
_cell_length_a 3.939
_cell_length_b 3.939
_cell_length_c 18.258
_cell_angle_alpha 90.00
_cell_angle_beta 90.00
_cell_angle_gamma 90.00
loop_
_atom_site_label
_atom_site_type_symbol
_atom_site_fract_x
_atom_site_fract_y
_atom_site_fract_z
_atom_site_occupancy
Ca1 Ca 0.000 0.000 0.087 1
In1 In 0.000 0.500 0.250 1
Ru1 Ru 0.000 0.000 0.500 1

---

(2)
# CaIn2Ru | the Alexandria database | PBE | optimized geometry
# size of the total moment = 0.000 μB per formula unit
# energy of formation = 0.070 eV per atom
data_CaIn2Ru
_symmetry_space_group_name_H-M 'I -4 m 2'
_symmetry_Int_Tables_number 119
_symmetry_space_group_name_Hall 'I -4 -2'
_cell_length_a 4.356
_cell_length_b 4.356
_cell_length_c 8.952
_cell_angle_alpha 90.00
_cell_angle_beta 90.00
_cell_angle_gamma 90.00
loop_
_atom_site_label
_atom_site_type_symbol
_atom_site_fract_x
_atom_site_fract_y
_atom_site_fract_z
_atom_site_occupancy
Ca1 Ca 0.000 0.000 0.000 1
In1 In 0.000 0.000 0.500 1
In2 In 0.000 0.500 0.750 1
Ru1 Ru 0.000 0.500 0.250 1

---

(3)
# CaInRu2 | the Alexandria database | PBE | optimized geometry
# size of the total moment = 2.069 μB per formula unit
# energy of formation = 0.688 eV per atom
data_CaInRu2
_symmetry_space_group_name_H-M 'I -4 2 d'
_symmetry_Int_Tables_number 122
_symmetry_space_group_name_Hall 'I -4 2bw'
_cell_length_a 7.569
_cell_length_b 7.569
_cell_length_c 5.751
_cell_angle_alpha 90.00
_cell_angle_beta 90.00
_cell_angle_gamma 90.00
loop_
_atom_site_label
_atom_site_type_symbol
_atom_site_fract_x
_atom_site_fract_y
_atom_site_fract_z
_atom_site_occupancy
Ca1 Ca 0.000 0.000 0.000 1
In1 In 0.000 0.000 0.500 1
Ru1 Ru 0.224 0.250 0.625 1

---

(4)
# CaIn2Ru | the Alexandria database | PBE | optimized geometry
# size of the total moment = 0.000 μB per formula unit
# energy of formation = -0.027 eV per atom
data_CaIn2Ru
_symmetry_space_group_name_H-M 'P 4 m m'
_symmetry_Int_Tables_number 99
_cell_length_a 3.513
_cell_length_b 3.513
_cell_length_c 7.458
_cell_angle_alpha 90.00
_cell_angle_beta 90.00
_cell_angle_gamma 90.00
loop_
_symmetry_equiv_pos_as_xyz
'x,y,z'
'-y,x,z'
'-x,-y,z'
'y,-x,z'
'-x,y,z'
'y,x,z'
'x,-y,z'
'-y,-x,z'
loop_
_atom_site_label
_atom_site_type_symbol
_atom_site_fract_x
_atom_site_fract_y
_atom_site_fract_z
_atom_site_occupancy
Ca1 Ca 0.000 0.000 0.000 1
In1 In 0.000 0.000 0.588 1
In2 In 0.500 0.500 0.324 1
Ru1 Ru 0.500 0.500 0.738 1

---

(5)
# Ca4InRu | the Alexandria database | PBE | optimized geometry
# size of the total moment = 0.000 μB per formula unit
# energy of formation = -0.153 eV per atom
data_Ca4InRu
_symmetry_space_group_name_H-M 'C 1 2/c 1'
_symmetry_Int_Tables_number 15
_cell_length_a 9.241
_cell_length_b 14.156
_cell_length_c 5.675
_cell_angle_alpha 90.00
_cell_angle_beta 108.30
_cell_angle_gamma 90.00
loop_
_symmetry_equiv_pos_as_xyz
'x,y,z'
'-x,-y,-z'
'-x,y,-z+1/2'
'x,-y,z+1/2'
'x+1/2,y+1/2,z'
'-x+1/2,-y+1/2,-z'
'-x+1/2,y+1/2,-z+1/2'
'x+1/2,-y+1/2,z+1/2'
loop_
_atom_site_label
_atom_site_type_symbol
_atom_site_fract_x
_atom_site_fract_y
_atom_site_fract_z
_atom_site_occupancy
Ca1 Ca 0.116 0.170 0.062 1
Ca2 Ca 0.207 0.427 0.353 1
In1 In 0.000 0.367 0.750 1
Ru1 Ru 0.000 0.001 0.250 1

---

(6)
# Ca2InRu2 | the Alexandria database | PBE | optimized geometry
# size of the total moment = 0.849 μB per formula unit
# energy of formation = -0.031 eV per atom
data_Ca2InRu2
_symmetry_space_group_name_H-M 'P 4/m b m'
_symmetry_Int_Tables_number 127
_symmetry_space_group_name_Hall '-P 4 2ab'
_cell_length_a 6.924
_cell_length_b 6.924
_cell_length_c 4.669
_cell_angle_alpha 90.00
_cell_angle_beta 90.00
_cell_angle_gamma 90.00
loop_
_atom_site_label
_atom_site_type_symbol
_atom_site_fract_x
_atom_site_fract_y
_atom_site_fract_z
_atom_site_occupancy
Ca1 Ca 0.174 0.326 0.000 1
In1 In 0.000 0.000 0.500 1
Ru1 Ru 0.122 0.622 0.500 1

---

(7)
# CaInRu2 | the Alexandria database | PBE | optimized geometry
# size of the total moment = 0.000 μB per formula unit
# energy of formation = 0.301 eV per atom
data_CaInRu2
_symmetry_space_group_name_H-M 'C 1 2/m 1'
_symmetry_Int_Tables_number 12
_cell_length_a 9.329
_cell_length_b 3.119
_cell_length_c 5.557
_cell_angle_alpha 90.00
_cell_angle_beta 102.75
_cell_angle_gamma 90.00
loop_
_symmetry_equiv_pos_as_xyz
'x,y,z'
'-x,-y,-z'
'-x,y,-z'
'x,-y,z'
'x+1/2,y+1/2,z'
'-x+1/2,-y+1/2,-z'
'-x+1/2,y+1/2,-z'
'x+1/2,-y+1/2,z'
loop_
_atom_site_label
_atom_site_type_symbol
_atom_site_fract_x
_atom_site_fract_y
_atom_site_fract_z
_atom_site_occupancy
Ca1 Ca 0.000 0.000 0.000 1
In1 In 0.000 0.500 0.500 1
Ru1 Ru 0.238 0.000 0.684 1

---

(8)
# CaIn2Ru | the Alexandria database | PBE | optimized geometry
# size of the total moment = 0.526 μB per formula unit
# energy of formation = 0.309 eV per atom
data_CaIn2Ru
_symmetry_space_group_name_H-M 'I -4 2 d'
_symmetry_Int_Tables_number 122
_symmetry_space_group_name_Hall 'I -4 2bw'
_cell_length_a 4.394
_cell_length_b 4.394
_cell_length_c 20.177
_cell_angle_alpha 90.00
_cell_angle_beta 90.00
_cell_angle_gamma 90.00
loop_
_atom_site_label
_atom_site_type_symbol
_atom_site_fract_x
_atom_site_fract_y
_atom_site_fract_z
_atom_site_occupancy
Ca1 Ca 0.000 0.000 0.000 1
In1 In 0.206 0.250 0.625 1
Ru1 Ru 0.000 0.000 0.500 1

---

(9)
# CaIn2Ru | the Alexandria database | PBE | optimized geometry
# size of the total moment = 0.000 μB per formula unit
# energy of formation = 0.123 eV per atom
data_CaIn2Ru
_symmetry_space_group_name_H-M 'C m m m'
_symmetry_Int_Tables_number 65
_symmetry_space_group_name_Hall '-C 2 2'
_cell_length_a 5.969
_cell_length_b 8.348
_cell_length_c 3.399
_cell_angle_alpha 90.00
_cell_angle_beta 90.00
_cell_angle_gamma 90.00
loop_
_atom_site_label
_atom_site_type_symbol
_atom_site_fract_x
_atom_site_fract_y
_atom_site_fract_z
_atom_site_occupancy
Ca1 Ca 0.000 0.000 0.000 1
In1 In 0.250 0.250 0.500 1
Ru1 Ru 0.000 0.500 0.000 1

---

(10)
# CaInSiRu2 | the Alexandria database | PBE | optimized geometry
# total energy = -3.955 eV per atom
# size of the total moment = 0.472 μB per formula unit
data_CaInSiRu2
_symmetry_space_group_name_H-M 'P 4/m m m'
_symmetry_Int_Tables_number 123
_symmetry_space_group_name_Hall '-P 4 2'
_cell_length_a 4.741
_cell_length_b 4.741
_cell_length_c 5.003
_cell_angle_alpha 90.00
_cell_angle_beta 90.00
_cell_angle_gamma 90.00
loop_
_atom_site_label
_atom_site_type_symbol
_atom_site_fract_x
_atom_site_fract_y
_atom_site_fract_z
_atom_site_occupancy
Ca1 Ca 0.000 0.000 0.000 1
In1 In 0.500 0.500 0.500 1
Si1 Si 0.000 0.000 0.500 1
Ru1 Ru 0.000 0.500 0.000 1

---

(11)
# CaSmInRu | the Alexandria database | PBE | optimized geometry
# size of the total moment = 0.000 μB per formula unit
# energy of formation = -0.111 eV per atom
data_CaSmInRu
_symmetry_space_group_name_H-M 'F -4 3 m'
_symmetry_Int_Tables_number 216
_symmetry_space_group_name_Hall 'F -4 2 3'
_cell_length_a 7.261
_cell_length_b 7.261
_cell_length_c 7.261
_cell_angle_alpha 90.00
_cell_angle_beta 90.00
_cell_angle_gamma 90.00
loop_
_atom_site_label
_atom_site_type_symbol
_atom_site_fract_x
_atom_site_fract_y
_atom_site_fract_z
_atom_site_occupancy
Ca1 Ca 0.000 0.000 0.000 1
Sm1 Sm 0.000 0.000 0.500 1
In1 In 0.250 0.250 0.250 1
Ru1 Ru 0.250 0.250 0.750 1

---

(12)
# SrCaInRu2 | the Alexandria database | PBE | optimized geometry
# size of the total moment = 1.484 μB per formula unit
# energy of formation = 1.651 eV per atom
data_SrCaInRu2
_symmetry_space_group_name_H-M 'P 4/m m m'
_symmetry_Int_Tables_number 123
_symmetry_space_group_name_Hall '-P 4 2'
_cell_length_a 4.966
_cell_length_b 4.966
_cell_length_c 5.404
_cell_angle_alpha 90.00
_cell_angle_beta 90.00
_cell_angle_gamma 90.00
loop_
_atom_site_label
_atom_site_type_symbol
_atom_site_fract_x
_atom_site_fract_y
_atom_site_fract_z
_atom_site_occupancy
Sr1 Sr 0.000 0.000 0.000 1
Ca1 Ca 0.000 0.000 0.500 1
In1 In 0.500 0.500 0.500 1
Ru1 Ru 0.000 0.500 0.000 1